! Na2IO | Alexandria via LeMat-Bulk | PBE | relaxed; values from VASP
! calculated volume = 90.1 Å³/f.u.
! formation energy (no corrections) = -645 meV per atom
! DFT total energy = -2.93 eV per atom
! space group = No. 225
&SYSTEM
  ibrav = 0, nat = 4, ntyp = 3
/
ATOMIC_SPECIES
O 16.00 O.upf
I 126.90 I.upf
Na 22.99 Na.upf
ATOMIC_POSITIONS angstrom
O 0.000 0.000 0.000
I -1.946 3.547 4.649
Na -0.973 1.774 2.325
Na -2.918 5.321 6.974
CELL_PARAMETERS angstrom
0.509 0.984 4.909
-0.396 4.730 1.672
-4.004 1.381 2.718

! Na3IO4 | Alexandria via LeMat-Bulk | PBE | relaxed; values from VASP
! calculated volume = 130.4 Å³/f.u.
! formation energy (no corrections) = -1158 meV per atom
! DFT total energy = -4.33 eV per atom
! space group = No. 31
&SYSTEM
  ibrav = 0, nat = 16, ntyp = 3
/
ATOMIC_SPECIES
O 16.00 O.upf
Na 22.99 Na.upf
I 126.90 I.upf
ATOMIC_POSITIONS angstrom
O -4.426 -2.322 2.878
O -3.490 -4.986 4.720
O -4.263 -4.912 2.136
O -1.545 -2.096 0.840
O -2.125 1.092 2.659
O -5.400 -2.294 -0.572
O -0.335 -5.537 3.221
O -0.557 -2.145 4.252
Na -3.630 -3.173 0.677
Na -2.366 -1.209 3.105
Na -0.038 -3.388 2.192
Na -5.959 -0.993 1.594
Na -2.521 -6.325 2.858
Na -1.328 -4.162 5.148
I -1.103 -0.348 0.058
I -4.877 -4.057 3.684
CELL_PARAMETERS angstrom
-1.610 2.306 4.152
-6.093 -2.728 -0.847
2.146 -6.105 4.223

! Na3IO4 | Alexandria via LeMat-Bulk | PBE | relaxed; values from VASP
! calculated volume = 113.8 Å³/f.u.
! formation energy (no corrections) = -1199 meV per atom
! DFT total energy = -4.37 eV per atom
! space group = No. 31
&SYSTEM
  ibrav = 0, nat = 16, ntyp = 3
/
ATOMIC_SPECIES
O 16.00 O.upf
Na 22.99 Na.upf
I 126.90 I.upf
ATOMIC_POSITIONS angstrom
O 3.271 1.338 0.000
O 0.791 3.616 4.630
O 0.232 1.228 1.985
O 2.712 3.726 6.615
O 0.318 4.257 0.000
O 2.799 0.696 4.630
O 0.232 1.228 7.275
O 2.712 3.726 2.645
Na 2.753 3.758 0.000
Na 0.273 1.195 4.630
Na 0.261 3.713 6.946
Na 2.741 1.240 6.944
Na 2.741 1.240 2.316
Na 0.261 3.713 2.314
I 2.669 3.770 4.630
I 0.189 1.184 0.000
CELL_PARAMETERS angstrom
4.960 0.000 0.000
0.000 4.954 0.000
0.000 0.000 9.260

! Na3IO | Alexandria via LeMat-Bulk | PBE | relaxed; values from VASP
! calculated volume = 107.4 Å³/f.u.
! formation energy (no corrections) = -903 meV per atom
! DFT total energy = -3.00 eV per atom
! space group = No. 194
&SYSTEM
  ibrav = 0, nat = 10, ntyp = 3
/
ATOMIC_SPECIES
Na 22.99 Na.upf
O 16.00 O.upf
I 126.90 I.upf
ATOMIC_POSITIONS angstrom
Na 2.831 0.000 9.812
Na 1.415 2.452 0.500
Na 0.000 0.000 2.578
Na 2.831 0.000 5.656
Na 1.415 2.452 4.656
Na 0.000 0.000 7.734
O 0.000 0.000 0.000
O 0.000 0.000 5.156
I 2.831 0.000 2.578
I 1.415 2.452 7.734
CELL_PARAMETERS angstrom
4.246 -2.452 0.000
0.000 4.903 0.000
0.000 0.000 10.312

! Na3IO | Alexandria via LeMat-Bulk | PBE | relaxed; values from VASP
! calculated volume = 136.6 Å³/f.u.
! formation energy (no corrections) = -926 meV per atom
! DFT total energy = -3.02 eV per atom
! space group = No. 99
&SYSTEM
  ibrav = 0, nat = 5, ntyp = 3
/
ATOMIC_SPECIES
Na 22.99 Na.upf
O 16.00 O.upf
I 126.90 I.upf
ATOMIC_POSITIONS angstrom
Na 0.000 0.000 5.852
Na 0.000 2.089 3.281
Na 2.089 0.000 3.281
O 2.089 2.089 4.285
I 0.000 0.000 1.011
CELL_PARAMETERS angstrom
4.179 0.000 0.000
0.000 4.179 0.000
0.000 0.000 7.824

! NaIO4 | Alexandria via LeMat-Bulk | PBE | relaxed; values from VASP
! calculated volume = 89.6 Å³/f.u.
! formation energy (no corrections) = -619 meV per atom
! DFT total energy = -4.40 eV per atom
! space group = No. 88
&SYSTEM
  ibrav = 0, nat = 12, ntyp = 3
/
ATOMIC_SPECIES
I 126.90 I.upf
O 16.00 O.upf
Na 22.99 Na.upf
ATOMIC_POSITIONS angstrom
I -1.082 3.931 -0.122
I 0.000 0.000 0.000
O -2.462 4.356 2.607
O 1.400 1.816 3.681
O -5.184 5.366 0.007
O 3.705 0.364 2.109
O -0.157 2.905 1.035
O -2.783 3.339 -0.115
O -5.309 5.521 3.259
O 1.701 0.592 -0.007
Na -1.191 2.134 3.266
Na -4.706 3.478 1.694
CELL_PARAMETERS angstrom
-4.597 5.275 -1.694
-4.815 1.681 5.081
7.140 -0.892 -0.244

! Na4IO5 | Alexandria via LeMat-Bulk | PBE | relaxed; values from VASP
! calculated volume = 136.0 Å³/f.u.
! formation energy (no corrections) = -1208 meV per atom
! DFT total energy = -4.37 eV per atom
! space group = No. 79
&SYSTEM
  ibrav = 0, nat = 10, ntyp = 3
/
ATOMIC_SPECIES
O 16.00 O.upf
Na 22.99 Na.upf
I 126.90 I.upf
ATOMIC_POSITIONS angstrom
O -2.052 3.597 3.690
O 0.998 3.892 1.688
O 1.162 2.214 -1.542
O 4.281 0.648 -0.495
O 1.230 0.354 1.507
Na -0.185 1.921 2.719
Na 2.402 2.302 0.493
Na -0.620 3.284 -0.374
Na 2.836 0.938 3.585
I 1.904 3.627 -2.527
CELL_PARAMETERS angstrom
5.617 -0.566 -1.302
-3.656 4.303 -1.302
0.297 0.566 5.759

! Na3IO | Alexandria via LeMat-Bulk | PBE | relaxed; values from VASP
! calculated volume = 124.0 Å³/f.u.
! formation energy (no corrections) = -1194 meV per atom
! DFT total energy = -3.29 eV per atom
! space group = No. 2
&SYSTEM
  ibrav = 0, nat = 10, ntyp = 3
/
ATOMIC_SPECIES
I 126.90 I.upf
Na 22.99 Na.upf
O 16.00 O.upf
ATOMIC_POSITIONS angstrom
I 1.717 4.495 8.014
I -0.510 1.507 6.015
Na 1.491 -0.104 1.544
Na 1.715 1.385 8.482
Na -0.510 4.613 5.545
Na -0.452 2.791 2.478
Na 1.745 0.825 4.013
Na 1.860 4.406 2.987
O -0.373 5.054 3.341
O 1.783 2.142 2.126
CELL_PARAMETERS angstrom
4.519 -0.136 0.028
-1.823 6.476 -0.090
-0.202 -1.197 8.562

Q: Which spin magnetization values were calculated for the entries above? A: 1.0 0.0 0.0 0.0 0.0 0.0 1.0 0.0, in μB per formula unit.